[1]
This record from the Alexandria database describes an optimized crystal structure of K3Al5H12. The functional is PBE.

Calculated values
Total magnetic moment (μB per formula unit): 0.000
Fermi-level density of states (states/eV per atom): 0.09
Calculated total energy (eV per atom): -3.020

Structure (POSCAR):
```
K3Al5H12
1.0
-6.7978 6.7978 6.7978
6.7978 -6.7978 6.7978
6.7978 6.7978 -6.7978
K Al H
12 20 48
direct
0.1250 0.2500 0.3750 K
0.1250 0.3750 0.7500 K
0.2500 0.3750 0.1250 K
0.2500 0.8750 0.6250 K
0.3750 0.1250 0.2500 K
0.3750 0.7500 0.1250 K
0.6250 0.2500 0.8750 K
0.6250 0.8750 0.7500 K
0.7500 0.1250 0.3750 K
0.7500 0.6250 0.8750 K
0.8750 0.6250 0.2500 K
0.8750 0.7500 0.6250 K
0.0000 0.0000 0.0000 Al
0.0000 0.0000 0.5000 Al
0.0000 0.5000 0.0000 Al
0.0000 0.5000 0.5000 Al
0.1250 0.7500 0.8750 Al
0.1250 0.8750 0.2500 Al
0.2500 0.1250 0.8750 Al
0.2500 0.6250 0.3750 Al
0.3750 0.2500 0.6250 Al
0.3750 0.6250 0.7500 Al
0.5000 0.0000 0.0000 Al
0.5000 0.0000 0.5000 Al
0.5000 0.5000 0.0000 Al
0.5000 0.5000 0.5000 Al
0.6250 0.3750 0.2500 Al
0.6250 0.7500 0.3750 Al
0.7500 0.3750 0.6250 Al
0.7500 0.8750 0.1250 Al
0.8750 0.1250 0.7500 Al
0.8750 0.2500 0.1250 Al
0.0051 0.7144 0.1164 H
0.0051 0.7907 0.8887 H
0.0980 0.7093 0.7144 H
0.0980 0.8887 0.3836 H
0.1113 0.6164 0.9020 H
0.1113 0.9949 0.2093 H
0.1164 0.0051 0.7144 H
0.1164 0.6113 0.4020 H
0.2093 0.1113 0.9949 H
0.2093 0.5980 0.2144 H
0.2144 0.2093 0.5980 H
0.2144 0.5051 0.6164 H
0.2856 0.8836 0.9949 H
0.2856 0.9020 0.2907 H
0.2907 0.2856 0.9020 H
0.2907 0.5051 0.3887 H
0.3836 0.0980 0.8887 H
0.3836 0.7856 0.4949 H
0.3887 0.2907 0.5051 H
0.3887 0.5980 0.8836 H
0.4020 0.1164 0.6113 H
0.4020 0.7856 0.7907 H
0.4949 0.3836 0.7856 H
0.4949 0.6113 0.7093 H
0.5051 0.3887 0.2907 H
0.5051 0.6164 0.2144 H
0.5980 0.2144 0.2093 H
0.5980 0.8836 0.3887 H
0.6113 0.4020 0.1164 H
0.6113 0.7093 0.4949 H
0.6164 0.2144 0.5051 H
0.6164 0.9020 0.1113 H
0.7093 0.4949 0.6113 H
0.7093 0.7144 0.0980 H
0.7144 0.0980 0.7093 H
0.7144 0.1164 0.0051 H
0.7856 0.4949 0.3836 H
0.7856 0.7907 0.4020 H
0.7907 0.4020 0.7856 H
0.7907 0.8887 0.0051 H
0.8836 0.3887 0.5980 H
0.8836 0.9949 0.2856 H
0.8887 0.0051 0.7907 H
0.8887 0.3836 0.0980 H
0.9020 0.1113 0.6164 H
0.9020 0.2907 0.2856 H
0.9949 0.2093 0.1113 H
0.9949 0.2856 0.8836 H
```

[2]
This record from the Alexandria database describes an optimized crystal structure of K2AlH6. The functional is PBE.

Calculated values
Total magnetic moment (μB per formula unit): 0.859
Fermi-level density of states (states/eV per atom): 0.27
Calculated total energy (eV per atom): -2.906

Structure (POSCAR):
```
K2AlH6
1.0
5.5237 0.0000 0.0000
-2.7619 4.7837 0.0000
0.0000 0.0000 9.1212
K Al H
4 2 12
direct
0.0000 0.0000 0.0000 K
0.0000 0.0000 0.5000 K
0.3333 0.6667 0.2678 K
0.6667 0.3333 0.7678 K
0.3333 0.6667 0.6471 Al
0.6667 0.3333 0.1471 Al
0.0386 0.5193 0.5335 H
0.1806 0.3613 0.7508 H
0.1806 0.8194 0.7508 H
0.3613 0.1806 0.2508 H
0.4807 0.5193 0.5335 H
0.4807 0.9614 0.5335 H
0.5193 0.0386 0.0335 H
0.5193 0.4807 0.0335 H
0.6387 0.8194 0.7508 H
0.8194 0.1806 0.2508 H
0.8194 0.6387 0.2508 H
0.9614 0.4807 0.0335 H
```

[3]
This record from the Alexandria database describes an optimized crystal structure of K3Al2H8. The functional is PBE.

Calculated values
Total magnetic moment (μB per formula unit): 0.014
Fermi-level density of states (states/eV per atom): 0.19
Calculated total energy (eV per atom): -3.024

Structure (POSCAR):
```
K3Al2H8
1.0
2.9256 1.6891 6.7976
-2.9256 1.6891 6.7976
0.0000 -3.3782 6.7976
K Al H
3 2 8
direct
0.0000 0.0000 0.0000 K
0.2080 0.2080 0.2080 K
0.7920 0.7920 0.7920 K
0.4236 0.4236 0.4236 Al
0.5764 0.5764 0.5764 Al
0.2355 0.7269 0.7269 H
0.2731 0.2731 0.7645 H
0.2731 0.7645 0.2731 H
0.3413 0.3413 0.3413 H
0.6587 0.6587 0.6587 H
0.7269 0.2355 0.7269 H
0.7269 0.7269 0.2355 H
0.7645 0.2731 0.2731 H
```